## BaGa (PBE-GGA)

Data for a geometry-optimized BaGa structure.

E_form, kJ/mol of formula units: 86.0

Unit cell a=9.2967 b=9.2967 c=9.2967 alpha=90.00 beta=90.00 gamma=90.00
Space group Pm-3n (No. 223)
Symmetry-distinct sites (fractional):
Ba  0.0000  0.2500  0.5000 (multiplicity 6)
Ga  0.0000  0.5000  0.2500 (multiplicity 6)